Record 1
SmZr2P4 PBE optimized geometry; E_form = -100.00 kJ per mole of atoms; space group = Cmcm (63); size of the total moment = 0.00 μB/cell
1.0
1.9164 -6.3594 0.0000
1.9164 6.3594 0.0000
0.0000 0.0000 11.7712
Sm Zr P
2 4 8
Direct
0.0971 0.9029 0.7500 Sm
0.9029 0.0971 0.2500 Sm
0.3638 0.6362 0.5498 Zr
0.3638 0.6362 0.9502 Zr
0.6362 0.3638 0.0498 Zr
0.6362 0.3638 0.4502 Zr
0.0000 0.0000 0.0000 P
0.0000 0.0000 0.5000 P
0.2557 0.7443 0.1433 P
0.2557 0.7443 0.3567 P
0.4361 0.5639 0.7500 P
0.5639 0.4361 0.2500 P
0.7443 0.2557 0.6433 P
0.7443 0.2557 0.8567 P

Record 2
Sn5P PBE optimized geometry; E_form = 12.15 kJ per mole of atoms; space group = Cmmm (65); size of the total moment = 0.00 μB/cell
1.0
1.7737 -8.7867 0.0000
1.7737 8.7867 0.0000
0.0000 0.0000 5.1043
Sn P
5 1
Direct
0.0000 0.0000 0.0000 Sn
0.1257 0.8743 0.5000 Sn
0.3236 0.6764 0.0000 Sn
0.6764 0.3236 0.0000 Sn
0.8743 0.1257 0.5000 Sn
0.5000 0.5000 0.5000 P

Number 1: DOS at the Fermi energy 6.9 states/eV per cell. Number 2: DOS at the Fermi energy 3.0 states/eV per cell.